1.
Computed, not measured: a crystal of ReSb2Ru relaxed with PBEsol at the SCAN level of DFT.

Its energy above the most stable polymorph in this dataset is 20 meV/atom. The calculation puts the size of the total moment at 0.000 μB/atom. Its uncorrected formation energy is 0.419 eV/atom. As for the density: 11.1 Mg/m³.

The space group is R3m (No. 160, hexagonal axes) and the conventional cell measures 3.0076, 3.0076 and 30.4740 Å, with angles of 90.00, 90.00 and 120.00 degrees. The asymmetric unit holds Re at (0.0000, 0.0000, 0.0000), Sb at (0.0000, 0.0000, 0.2608), Sb at (0.0000, 0.0000, 0.4690) and Ru at (0.0000, 0.0000, 0.7322).

***

2.
Computed, not measured: a crystal of ReSb2Ru relaxed with PBEsol at the SCAN level of DFT.

Its energy above the most stable polymorph in this dataset is 53 meV/atom. The calculation puts the size of the total moment at 0.000 μB/atom. Its uncorrected formation energy is 0.452 eV/atom. As for the density: 12.6 Mg/m³.

The space group is C2/m (No. 12) and the conventional cell measures 8.420, 3.124 and 5.433 Å, with angles of 90.00, 102.61 and 90.00 degrees. The asymmetric unit holds Re at (0.000, 0.000, 0.000), Sb at (0.250, 0.000, 0.751) and Ru at (0.000, 0.500, 0.500).

***

3.
Computed, not measured: a crystal of ReSb2Ru relaxed with PBEsol at the SCAN level of DFT.

Its energy above the most stable polymorph in this dataset is 2 meV/atom. The calculation puts the size of the total moment at 0.000 μB/atom. Its uncorrected formation energy is 0.401 eV/atom. As for the density: 12.5 Mg/m³.

The space group is Pmm2 (No. 25) and the conventional cell measures 3.095, 4.127 and 5.511 Å, with angles of 90.00, 90.00 and 90.00 degrees. The asymmetric unit holds Re at (0.000, 0.000, 0.000), Sb at (0.000, 0.000, 0.488), Sb at (0.500, 0.500, 0.843) and Ru at (0.500, 0.500, 0.330).

***

4.
Computed, not measured: a crystal of ReSb2Ru relaxed with PBEsol at the SCAN level of DFT.

Its energy above the most stable polymorph in this dataset is 0 meV/atom. The calculation puts the size of the total moment at 0.097 μB/atom. Its uncorrected formation energy is 0.399 eV/atom. As for the density: 13.0 Mg/m³.

The space group is P4/mmm (No. 123) and the conventional cell measures 3.244, 3.244 and 6.431 Å, with angles of 90.00, 90.00 and 90.00 degrees. The asymmetric unit holds Re at (0.000, 0.000, 0.000), Sb at (0.500, 0.500, 0.249) and Ru at (0.000, 0.000, 0.500).

***

5.
Computed, not measured: a crystal of Re2SbRu relaxed with PBEsol at the SCAN level of DFT.

The calculation puts the size of the total moment at 0.000 μB/atom. Its uncorrected formation energy is 0.406 eV/atom. As for the density: 15.7 Mg/m³.

The space group is R3m (No. 160, hexagonal axes) and the conventional cell measures 2.8950, 2.8950 and 25.9440 Å, with angles of 90.00, 90.00 and 120.00 degrees. The asymmetric unit holds Re at (0.0000, 0.0000, 0.0000), Re at (0.0000, 0.0000, 0.2533), Sb at (0.0000, 0.0000, 0.4977) and Ru at (0.0000, 0.0000, 0.7478).

***

6.
Computed, not measured: a crystal of ReSb2Ru relaxed with PBEsol at the SCAN level of DFT.

Its energy above the most stable polymorph in this dataset is 629 meV/atom. The calculation puts the size of the total moment at 0.402 μB/atom. Its uncorrected formation energy is 1.028 eV/atom. As for the density: 12.3 Mg/m³.

The space group is F-43m (No. 216) and the conventional cell measures 6.600, 6.600 and 6.600 Å, with angles of 90.00, 90.00 and 90.00 degrees. The asymmetric unit holds Re at (0.000, 0.000, 0.000), Sb at (0.000, 0.000, 0.500), Sb at (0.250, 0.250, 0.250) and Ru at (0.250, 0.250, 0.750).

***

7.
Computed, not measured: a crystal of ScRe2Ru relaxed with PBEsol at the SCAN level of DFT.

The calculation puts the size of the total moment at 0.000 μB/atom. The formation enthalpy at 0 K comes out at -58 meV per atom. As for the density: 14.3 Mg/m³.

The space group is C2/m (No. 12) and the conventional cell measures 5.230, 8.877 and 2.736 Å, with angles of 90.00, 108.80 and 90.00 degrees. The asymmetric unit holds Sc at (0.000, 0.000, 0.000), Re at (0.250, 0.250, 0.500) and Ru at (0.000, 0.500, 0.000).

***

8.
Computed, not measured: a crystal of Sc2ReSnRu relaxed with PBEsol at the SCAN level of DFT.

The calculation puts the size of the total moment at 0.359 μB/atom. The formation enthalpy at 0 K comes out at 757 meV per atom. As for the density: 7.0 Mg/m³.

The space group is P4/mmm (No. 123) and the conventional cell measures 4.847, 4.847 and 5.006 Å, with angles of 90.00, 90.00 and 90.00 degrees. The asymmetric unit holds Sc at (0.000, 0.500, 0.000), Re at (0.000, 0.000, 0.000), Sn at (0.000, 0.000, 0.500) and Ru at (0.500, 0.500, 0.500).

***

9.
Computed, not measured: a crystal of ReRuSe relaxed with PBEsol at the SCAN level of DFT.

The calculation puts the size of the total moment at 0.000 μB/atom. Its uncorrected formation energy is 0.480 eV/atom. As for the density: 13.9 Mg/m³.

The space group is P-6m2 (No. 187) and the conventional cell measures 4.1789, 4.1789 and 2.8988 Å, with angles of 90.00, 90.00 and 120.00 degrees. The asymmetric unit holds Re at (0.0000, 0.0000, 0.0000), Ru at (0.3333, 0.6667, 0.5000) and Se at (0.6667, 0.3333, 0.0000).

***

10.
Computed, not measured: a crystal of ReRu2Se relaxed with PBEsol at the SCAN level of DFT.

Its energy above the most stable polymorph in this dataset is 356 meV/atom. The calculation puts the size of the total moment at 0.000 μB/atom. Its uncorrected formation energy is 0.593 eV/atom. As for the density: 13.7 Mg/m³.

The space group is F-43m (No. 216) and the conventional cell measures 6.103, 6.103 and 6.103 Å, with angles of 90.00, 90.00 and 90.00 degrees. The asymmetric unit holds Re at (0.000, 0.000, 0.000), Ru at (0.000, 0.000, 0.500), Ru at (0.250, 0.250, 0.250) and Se at (0.250, 0.250, 0.750).

***

11.
Computed, not measured: a crystal of ReRu2Se relaxed with PBEsol at the SCAN level of DFT.

Its energy above the most stable polymorph in this dataset is 354 meV/atom. The calculation puts the size of the total moment at 0.320 μB/atom. Its uncorrected formation energy is 0.591 eV/atom. As for the density: 13.4 Mg/m³.

The space group is P4/mmm (No. 123) and the conventional cell measures 4.535, 4.535 and 2.817 Å, with angles of 90.00, 90.00 and 90.00 degrees. The asymmetric unit holds Re at (0.000, 0.000, 0.000), Ru at (0.000, 0.500, 0.500) and Se at (0.500, 0.500, 0.000).

***

12.
Computed, not measured: a crystal of ReRu2Se relaxed with PBEsol at the SCAN level of DFT.

Its energy above the most stable polymorph in this dataset is 232 meV/atom. The calculation puts the size of the total moment at 0.000 μB/atom. Its uncorrected formation energy is 0.469 eV/atom. As for the density: 13.2 Mg/m³.

The space group is Pmm2 (No. 25) and the conventional cell measures 2.827, 3.783 and 5.476 Å, with angles of 90.00, 90.00 and 90.00 degrees. The asymmetric unit holds Re at (0.000, 0.000, 0.000), Ru at (0.000, 0.000, 0.487), Ru at (0.500, 0.500, 0.192) and Se at (0.500, 0.500, 0.660).